SrMg6VO8 | GGA+U | optimized geometry

a = 4.495 Å, b = 4.495 Å, c = 8.764 Å
α = 90.00°, β = 90.00°, γ = 90.00°
Sites, in units of the cell vectors:
Sr  0.000  0.000  0.000
Mg  0.000  0.000  0.500
Mg  0.000  0.500  0.262
Mg  0.000  0.500  0.738
Mg  0.500  0.000  0.262
Mg  0.500  0.000  0.738
Mg  0.500  0.500  0.500
V  0.500  0.500  0.000
O  0.000  0.000  0.273
O  0.000  0.000  0.727
O  0.000  0.500  0.000
O  0.000  0.500  0.500
O  0.500  0.000  0.000
O  0.500  0.000  0.500
O  0.500  0.500  0.257
O  0.500  0.500  0.743

relative energy among the computed polymorphs: 0.00 kJ/mol of atoms